[1]
DFT (PBE) results for crystalline HfGaIrPd at its relaxed geometry.

Computed properties:
The calculation puts the volume at 65 Å³/f.u. The value obtained for the energy above the most stable polymorph in this dataset is 19 meV per atom. For the formation energy, the calculation gives -0.75 eV per atom.

CIF file:
```
data_HfGaIrPd
_chemical_formula_sum 'Hf4 Ga4 Ir4 Pd4'
_cell_length_a 6.387
_cell_length_b 6.387
_cell_length_c 6.387
_cell_angle_alpha 90.00
_cell_angle_beta 90.00
_cell_angle_gamma 90.00
_space_group_name_H-M_alt 'F -4 3 m'
_space_group_IT_number 216
_space_group_name_Hall 'F -4 2 3'
loop_
_atom_site_label
_atom_site_type_symbol
_atom_site_fract_x
_atom_site_fract_y
_atom_site_fract_z
Hf1 Hf 0.000 0.000 0.000
Ga1 Ga 0.000 0.000 0.500
Ir1 Ir 0.250 0.250 0.250
Pd1 Pd 0.250 0.250 0.750
```

[2]
DFT (PBE) results for crystalline HfGaIrPd at its relaxed geometry.

Computed properties:
The calculation puts the volume at 64 Å³/f.u. The value obtained for the energy above the most stable polymorph in this dataset is 0 meV per atom. For the formation energy, the calculation gives -0.77 eV per atom.

CIF file:
```
data_HfGaIrPd
_chemical_formula_sum 'Hf2 Ga2 Ir2 Pd2'
_cell_length_a 4.128
_cell_length_b 4.128
_cell_length_c 7.554
_cell_angle_alpha 90.00
_cell_angle_beta 90.00
_cell_angle_gamma 90.00
_space_group_name_H-M_alt 'I -4 m 2'
_space_group_IT_number 119
_space_group_name_Hall 'I -4 -2'
loop_
_atom_site_label
_atom_site_type_symbol
_atom_site_fract_x
_atom_site_fract_y
_atom_site_fract_z
Hf1 Hf 0.000 0.000 0.000
Ga1 Ga 0.000 0.000 0.500
Ir1 Ir 0.000 0.500 0.250
Pd1 Pd 0.000 0.500 0.750
```

[3]
DFT (PBE) results for crystalline RbHfGa2Ir at its relaxed geometry.

Computed properties:
The calculation puts the volume at 127 Å³/f.u. For the formation energy, the calculation gives 0.09 eV per atom.

CIF file:
```
data_RbHfGa2Ir
_chemical_formula_sum 'Rb1 Hf1 Ga2 Ir1'
_cell_length_a 4.957
_cell_length_b 4.957
_cell_length_c 5.154
_cell_angle_alpha 90.00
_cell_angle_beta 90.00
_cell_angle_gamma 90.00
_space_group_name_H-M_alt 'P 4/m m m'
_space_group_IT_number 123
_space_group_name_Hall '-P 4 2'
loop_
_atom_site_label
_atom_site_type_symbol
_atom_site_fract_x
_atom_site_fract_y
_atom_site_fract_z
Rb1 Rb 0.000 0.000 0.000
Hf1 Hf 0.500 0.500 0.000
Ga1 Ga 0.000 0.500 0.500
Ir1 Ir 0.500 0.500 0.500
```

[4]
DFT (PBE) results for crystalline HfGaReIr2 at its relaxed geometry.

Computed properties:
The calculation puts the volume at 113 Å³/f.u. For the formation energy, the calculation gives 1.12 eV per atom.

CIF file:
```
data_HfGaReIr2
_chemical_formula_sum 'Hf1 Ga1 Re1 Ir2'
_cell_length_a 4.766
_cell_length_b 4.766
_cell_length_c 4.992
_cell_angle_alpha 90.00
_cell_angle_beta 90.00
_cell_angle_gamma 90.00
_space_group_name_H-M_alt 'P 4/m m m'
_space_group_IT_number 123
_space_group_name_Hall '-P 4 2'
loop_
_atom_site_label
_atom_site_type_symbol
_atom_site_fract_x
_atom_site_fract_y
_atom_site_fract_z
Hf1 Hf 0.000 0.000 0.000
Ga1 Ga 0.500 0.500 0.000
Re1 Re 0.000 0.000 0.500
Ir1 Ir 0.000 0.500 0.500
```